[1]
Density functional theory data (PBE-GGA) for crystalline Zn2CdCo at its relaxed geometry.

Properties
As for the density of states at the Fermi level: 3.39 states/eV/f.u. As for the space-group type: C2/m, No. 12. For the formation energy, the calculation gives 0.8 eV/f.u.

Unit cell a=5.041 b=5.196 c=2.738 alpha=78.39 beta=82.63 gamma=116.83
Each line ends with the local moment (μB).
Fractional positions:
Cd 0.000 0.500 0.500  -0.02
Co 0.500 0.500 0.000  1.32
Zn 0.000 0.000 0.000  -0.01
Zn 0.500 0.000 0.500  -0.01


[2]
Density functional theory data (PBE-GGA) for crystalline Zn2CdCo at its relaxed geometry.

Properties
As for the density of states at the Fermi level: 2.05 states/eV/f.u. As for the space-group type: Imm2, No. 44. For the formation energy, the calculation gives 0.5 eV/f.u.

Unit cell a=5.044 b=5.044 c=4.097 alpha=66.04 beta=66.04 gamma=39.48
Each line ends with the local moment (μB).
Fractional positions:
Cd 0.511 0.511 0.489  -0.02
Co 0.263 0.263 0.237  0.73
Zn 0.983 0.983 0.017  -0.02
Zn 0.744 0.744 0.756  -0.02


[3]
Density functional theory data (PBE-GGA) for crystalline ZnCd4Co at its relaxed geometry.

Properties
As for the density of states at the Fermi level: 7.89 states/eV/f.u. As for the space-group type: F-43m, No. 216. For the formation energy, the calculation gives 3.1 eV/f.u.

Unit cell a=5.581 b=5.581 c=5.581 alpha=60.00 beta=60.00 gamma=60.00
Each line ends with the local moment (μB).
Fractional positions:
Zn 0.000 0.000 0.000  0.00
Cd 0.874 0.375 0.375  -0.01
Cd 0.375 0.375 0.874  -0.01
Cd 0.375 0.874 0.375  -0.01
Cd 0.375 0.375 0.375  -0.01
Co 0.750 0.750 0.750  1.64